(1)
Computed, not measured: KPdPb2 after structural relaxation at the PBE-GGA level of DFT.

Output
Energy relative to the elements in eV/atom: 0.023
N(E_F) in states/eV per cell: 3.42
Spin magnetization in μB per atom: 0.0000

Lattice parameters (Å, degrees): 5.2493 5.2493 5.2493 60.00 60.00 60.00
Closest atoms and distances in Å follow each position.
Fractional coordinates of all 4 atoms:
Pd  0.5000  0.5000  0.5000  8 Pb 3.21
K  0.0000  0.0000  0.0000  8 Pb 3.21
Pb  0.7500  0.7500  0.7500  4 Pd 3.21, 4 K 3.21
Pb  0.2500  0.2500  0.2500  4 Pd 3.21, 4 K 3.21



(2)
Computed, not measured: DyPb2ClO4 after structural relaxation at the PBE-GGA level of DFT.

Output
N(E_F) in states/eV per cell: 3.84
Formation energy without anion corrections in eV per atom: -1.70
Spin magnetization in μB per atom: 0.0000

Lattice parameters (Å, degrees): 3.9863 3.9863 8.8671 90.00 90.00 90.00
Closest atoms and distances in Å follow each position.
Fractional coordinates of all 8 atoms:
Pb  0.5000  0.5000  0.7273  4 O 2.28
O  0.0000  0.5000  0.1475  2 Pb 2.28, 2 Dy 2.38
O  0.5000  0.0000  0.1475  2 Pb 2.28, 2 Dy 2.38
Dy  0.0000  0.0000  0.0000  8 O 2.38
Pb  0.5000  0.5000  0.2727  4 O 2.28
O  0.5000  0.0000  0.8525  2 Pb 2.28, 2 Dy 2.38
Cl  0.0000  0.0000  0.5000  8 Pb 3.47, 8 O 3.71
O  0.0000  0.5000  0.8525  2 Pb 2.28, 2 Dy 2.38